The following is a GGA-PBE calculation of crystalline In2CuSe at its relaxed geometry, from Alexandria.

**Crystal system**: orthorhombic
**Space-group type**: Cmmm
**D(E_F)**: 1.52 states/eV/cell
**Formation energy from raw total energies**: 0.064 eV/atom

a b c (Å): 3.5510 3.5510 6.8092
angles (deg): 90.00 90.00 89.47
Atoms (fractional coordinates):
Cu 0.5000 0.5000 0.7500
In 0.0000 0.0000 0.9884
In 0.0000 0.0000 0.5116
Se 0.5000 0.5000 0.2500